Record 1
A plane-wave DFT calculation with GGA-PBE was carried out for crystalline ZrTc2As at its relaxed geometry.

```
ZrTc2As
1.0
-1.568 2.340 4.470
1.568 -2.340 4.470
1.568 2.340 -4.470
Zr Tc As
1 2 1
Cartesian
0.000 0.000 0.000
1.568 0.000 2.476
0.000 2.340 1.994
0.000 0.000 4.470
```

- ΔH_f (0 K) (meV/atom) = -159

Record 2
A plane-wave DFT calculation with GGA-PBE was carried out for crystalline Zr2TcAs at its relaxed geometry.

```
Zr2TcAs
1.0
3.451 0.000 0.000
0.000 3.451 0.000
0.000 0.000 6.200
Zr Tc As
2 1 1
Cartesian
0.000 0.000 1.542
0.000 0.000 4.658
1.725 1.725 0.000
1.725 1.725 3.100
```

- ΔH_f (0 K) (meV/atom) = -584

Record 3
A plane-wave DFT calculation with GGA-PBE was carried out for crystalline Zr3TcAs at its relaxed geometry.

```
Zr3TcAs
1.0
4.939 0.000 0.000
0.000 4.939 0.000
0.000 0.000 4.939
Zr Tc As
3 1 1
Cartesian
0.000 0.000 2.469
0.000 2.469 0.000
2.469 0.000 0.000
2.469 2.469 2.469
0.000 0.000 0.000
```

- relative energy among the computed polymorphs (eV per atom) = 0.085
- ΔH_f (0 K) (meV/atom) = 454

Record 4
A plane-wave DFT calculation with GGA-PBE was carried out for crystalline ZrTcAs2 at its relaxed geometry.

```
ZrTcAs2
1.0
0.000 3.230 3.230
3.230 0.000 3.230
3.230 3.230 0.000
Zr Tc As
1 1 2
Cartesian
0.000 0.000 0.000
3.230 3.230 3.230
1.615 1.615 1.615
4.845 4.845 4.845
```

- relative energy among the computed polymorphs (eV per atom) = 0.212
- ΔH_f (0 K) (meV/atom) = -375

Record 5
A plane-wave DFT calculation with GGA-PBE was carried out for crystalline ZrTcAs2 at its relaxed geometry.

```
ZrTcAs2
1.0
-2.015 2.015 4.251
2.015 -2.015 4.251
2.015 2.015 -4.251
Zr Tc As
1 1 2
Cartesian
0.000 0.000 0.000
0.000 2.015 2.125
2.015 0.000 2.125
0.000 0.000 4.251
```

- relative energy among the computed polymorphs (eV per atom) = 0.396
- ΔH_f (0 K) (meV/atom) = -191

Record 6
A plane-wave DFT calculation with GGA-PBE was carried out for crystalline ZrTc2As at its relaxed geometry.

```
ZrTc2As
1.0
-1.879 1.879 4.709
1.879 -1.879 4.709
1.879 1.879 -4.709
Zr Tc As
1 2 1
Cartesian
0.000 0.000 0.000
1.879 0.000 2.355
0.000 1.879 2.355
0.000 0.000 4.709
```

- ΔH_f (0 K) (meV/atom) = -145

Record 7
A plane-wave DFT calculation with GGA-PBE was carried out for crystalline Zr2TcAs at its relaxed geometry.

```
Zr2TcAs
1.0
1.653 0.954 8.334
-1.653 0.954 8.334
0.000 -1.909 8.334
Zr Tc As
2 1 1
Cartesian
0.000 0.000 0.000
0.000 0.000 5.867
0.000 0.000 18.852
0.000 0.000 12.091
```

- ΔH_f (0 K) (meV/atom) = -120

Record 8
A plane-wave DFT calculation with GGA-PBE was carried out for crystalline ZrTc2As at its relaxed geometry.

```
ZrTc2As
1.0
3.233 0.000 0.000
0.000 3.233 0.000
0.000 0.000 6.227
Zr Tc As
1 2 1
Cartesian
0.000 0.000 0.000
1.616 1.616 1.686
1.616 1.616 4.540
0.000 0.000 3.113
```

- ΔH_f (0 K) (meV/atom) = -188